(1)
Crystalline V2InPt9 at its relaxed geometry. Source: the Alexandria database, functional GGA-PBE.

Results
Crystal system: tetragonal
DFT formation energy in meV/atom: -452.6
Density of states at the Fermi level in states/eV/f.u.: 11.04

abc: 3.955 3.955 11.930
angles: 90.00 90.00 90.00
Fractional coordinates of all 12 atoms:
V  0.000  0.000  0.333
V  0.000  0.000  0.667
In  0.000  0.000  0.000
Pt  0.500  0.500  0.000
Pt  0.500  0.500  0.339
Pt  0.500  0.500  0.661
Pt  0.500  0.000  0.179
Pt  0.500  0.000  0.500
Pt  0.500  0.000  0.821
Pt  0.000  0.500  0.179
Pt  0.000  0.500  0.500
Pt  0.000  0.500  0.821


(2)
Crystalline TbCuCO4 at its relaxed geometry. Source: the Alexandria database, functional GGA-PBE.

Results
Formation energy from raw total energies in eV per formula unit: -11.59
Crystal system: orthorhombic

abc: 5.328 5.988 5.988
angles: 78.54 63.58 63.58
Fractional coordinates of all 14 atoms:
Tb  0.000  0.000  0.000
Tb  0.000  0.500  0.500
Cu  0.500  0.000  0.500
Cu  0.000  0.000  0.500
C  0.618  0.632  0.132
C  0.382  0.368  0.868
O  0.701  0.702  0.897
O  0.299  0.603  0.798
O  0.701  0.397  0.202
O  0.299  0.298  0.103
O  0.255  0.760  0.260
O  0.725  0.760  0.260
O  0.275  0.240  0.740
O  0.745  0.240  0.740


(3)
Crystalline RbCa3Tl at its relaxed geometry. Source: the Alexandria database, functional GGA-PBE.

Results
E above lowest polymorph in eV per atom: 0.0000
Crystal system: cubic
DFT formation energy in meV/atom: -22.5
Density of states at the Fermi level in states/eV/f.u.: 0.51

abc: 6.215 6.215 6.215
angles: 90.00 90.00 90.00
Fractional coordinates of all 5 atoms:
Tl  0.000  0.000  0.000
Ca  0.000  0.500  0.000
Ca  0.000  0.000  0.500
Ca  0.500  0.000  0.000
Rb  0.500  0.500  0.500